# Sc2BiC, relaxed, DFT PBE
# Electronic total energy   -5.870 eV/atom
# Crystal system   trigonal
# Calculated volume   379.0 Å³ per cell
# Energy relative to the elements   0.572 eV per atom
data_Sc2BiC
_cell_length_a 4.5318
_cell_length_b 4.5318
_cell_length_c 21.3116
_cell_angle_alpha 90.00
_cell_angle_beta 90.00
_cell_angle_gamma 120.00
_space_group_name_H-M_alt 'R -3 m'
_space_group_IT_number 166
_space_group_name_Hall '-R 3 2"'
loop_
_atom_site_label
_atom_site_type_symbol
_atom_site_fract_x
_atom_site_fract_y
_atom_site_fract_z
_atom_site_occupancy
Sc1 Sc 0.0000 0.0000 0.0944 1
Bi1 Bi 0.0000 0.0000 0.5000 1
C1 C 0.0000 0.0000 0.0000 1